SCAN KNaTeH6O6, single point on PBEsol structure; size of the total moment = 0.000 μB per atom; energy = -8.507 eV per atom; Fermi-level density of states = 0.0 states/eV per cell; SG = No. 159
1.0
6.6130 0.0000 0.0000
-3.3065 5.7270 0.0000
0.0000 0.0000 8.5702
H O Te Na K
12 12 2 2 2
Cartesian
1.4948 2.2959 4.3379 H
2.3022 0.3316 4.4061 H
-0.8639 2.1596 0.1210 H
1.8682 3.8990 0.1210 H
5.1747 1.8280 4.4061 H
0.5707 5.5804 0.0528 H
-1.8117 3.4310 0.0528 H
4.5474 3.2845 4.3379 H
-1.0042 5.3954 0.1210 H
1.2410 2.4425 0.0528 H
3.8772 0.1465 4.3379 H
2.4426 3.5674 4.4061 H
3.0376 0.0312 8.0981 O
5.0672 2.6151 8.0981 O
1.8146 3.0807 8.0981 O
3.5998 4.0789 5.4398 O
0.2934 1.6481 1.1547 O
1.7607 3.1119 3.8130 O
-1.4918 2.6463 3.8130 O
5.0390 0.5700 5.4398 O
-0.2688 5.6958 3.8130 O
-2.0259 4.6489 1.1547 O
1.7325 5.1570 1.1547 O
1.2806 1.0781 5.4398 O
0.0000 0.0000 6.3053 Te
0.0000 0.0000 2.0202 Te
0.0000 3.8180 2.4295 Na
3.3065 1.9090 6.7146 Na
3.3065 1.9090 1.8111 K
0.0000 3.8180 6.0962 K

---

SCAN HfSiO4, single point on PBEsol structure; size of the total moment = 0.000 μB per atom; energy relative to the elements, uncorrected = -3.49 eV/atom; Fermi-level density of states = 0.0 states/eV per cell; SG = No. 141
1.0
-3.7641 3.2140 -2.4307
-1.8622 -4.9586 1.5333
1.6174 2.6006 4.5856
O Si Hf
8 2 2
Cartesian
-1.8505 3.8670 1.4162 O
-3.4617 2.5896 -0.4445 O
-1.0549 1.7123 0.6176 O
-1.8313 -0.9907 0.8489 O
-3.5525 1.7157 1.8230 O
-4.2381 -0.1134 -0.2133 O
-1.8252 0.3324 3.5737 O
-0.1232 2.4837 3.1669 O
-2.4799 2.4711 0.8531 Si
-2.8131 -0.8723 -0.4487 Si
-1.5290 -1.6152 2.8351 Hf
0.0000 0.0000 0.0000 Hf